Here is a geometry-optimized ScAlAs2 structure from Alexandria via LeMat-Bulk. Energies are from PBE.

POSCAR file:
```
ScAlAs2
1.0
-0.647 -1.678 5.800
6.009 0.390 0.783
2.134 4.773 4.797
Sc As Al
2 4 2
Direct
0.000 0.000 0.000
0.750 0.250 0.500
0.602 0.125 0.250
0.148 0.625 0.250
0.375 0.398 0.750
0.875 0.852 0.750
0.500 0.500 0.000
0.250 0.750 0.500
```

Summary:
Calculated formation energy, eV per formula unit: -2.53
Symmetry: I-42d (122)
Total moment, Bohr magnetons per cell: 0.0